(1)
Ho3Er4Tl2 after structural relaxation. Source: Alexandria, functional PBE.

Values from the calculation:
Total DFT energy (no corrections) ... -38.107 eV/cell
Formation energy ... -154 meV/atom

abc: 6.5560 6.5560 10.1420
angles: 122.35 122.35 48.06
Atoms (fractional coordinates):
Ho 0.0000 0.0000 0.0000
Ho 0.3544 0.3544 0.3210
Ho 0.6456 0.6456 0.6790
Er 0.0979 0.0979 0.4285
Er 0.2667 0.2667 0.9183
Er 0.7333 0.7333 0.0817
Er 0.9021 0.9021 0.5715
Tl 0.4133 0.4133 0.7452
Tl 0.5867 0.5867 0.2548


(2)
Ho6ErTl6 after structural relaxation. Source: Alexandria, functional PBE.

Values from the calculation:
Total DFT energy (no corrections) ... -48.275 eV/cell
Formation energy ... -158 meV/atom

abc: 6.4086 6.4086 10.5027
angles: 90.00 90.00 120.00
Atoms (fractional coordinates):
Ho 0.0000 0.0000 0.1637
Ho 0.0000 0.0000 0.8363
Ho 0.3333 0.6667 0.0000
Ho 0.3333 0.6667 0.5000
Ho 0.6667 0.3333 0.0000
Ho 0.6667 0.3333 0.5000
Er 0.0000 0.0000 0.5000
Tl 0.0000 0.5000 0.2536
Tl 0.0000 0.5000 0.7464
Tl 0.5000 0.0000 0.2536
Tl 0.5000 0.0000 0.7464
Tl 0.5000 0.5000 0.2536
Tl 0.5000 0.5000 0.7464


(3)
Ho3ErTl5 after structural relaxation. Source: Alexandria, functional PBE.

Values from the calculation:
Total DFT energy (no corrections) ... -65.289 eV/cell
Formation energy ... -280 meV/atom

abc: 9.3032 9.3032 6.5613
angles: 90.00 90.00 120.00
Atoms (fractional coordinates):
Ho 0.0000 0.3687 0.2500
Ho 0.0000 0.6313 0.7500
Ho 0.3687 0.0000 0.2500
Ho 0.3687 0.3687 0.7500
Ho 0.6313 0.0000 0.7500
Ho 0.6313 0.6313 0.2500
Er 0.0000 0.0000 0.0000
Er 0.0000 0.0000 0.5000
Tl 0.0000 0.2982 0.7500
Tl 0.0000 0.7018 0.2500
Tl 0.2982 0.0000 0.7500
Tl 0.2982 0.2982 0.2500
Tl 0.3333 0.6667 0.0000
Tl 0.3333 0.6667 0.5000
Tl 0.6667 0.3333 0.0000
Tl 0.6667 0.3333 0.5000
Tl 0.7018 0.0000 0.2500
Tl 0.7018 0.7018 0.7500


(4)
Ho6ErTl after structural relaxation. Source: Alexandria, functional PBE.

Values from the calculation:
ΔE to the lowest computed polymorph ... 157 meV/atom
Total DFT energy (no corrections) ... -33.737 eV/cell
Formation energy ... 82 meV/atom

abc: 6.5783 6.5783 6.4877
angles: 90.00 90.00 120.25
Atoms (fractional coordinates):
Ho 0.0658 0.0658 0.2497
Ho 0.0711 0.5038 0.7506
Ho 0.4962 0.9289 0.2494
Ho 0.5038 0.0711 0.7506
Ho 0.9289 0.4962 0.2494
Ho 0.9342 0.9342 0.7503
Er 0.5000 0.5000 0.0000
Tl 0.5000 0.5000 0.5000


(5)
Ho2Er3Tl7 after structural relaxation. Source: Alexandria, functional PBE.

Values from the calculation:
Total DFT energy (no corrections) ... -40.160 eV/cell
Formation energy ... -63 meV/atom

abc: 13.0869 13.0869 5.3548
angles: 90.00 90.00 156.83
Atoms (fractional coordinates):
Ho 0.1529 0.8471 0.0000
Ho 0.8471 0.1529 0.0000
Er 0.3490 0.6510 0.5000
Er 0.5000 0.5000 0.5000
Er 0.6510 0.3490 0.5000
Tl 0.0000 0.0000 0.0000
Tl 0.0816 0.9184 0.5000
Tl 0.2800 0.7200 0.0000
Tl 0.4245 0.5755 0.0000
Tl 0.5755 0.4245 0.0000
Tl 0.7200 0.2800 0.0000
Tl 0.9184 0.0816 0.5000


(6)
Ho6Er2Tl after structural relaxation. Source: Alexandria, functional PBE.

Values from the calculation:
ΔE to the lowest computed polymorph ... 0 meV/atom
Total DFT energy (no corrections) ... -78.611 eV/cell
Formation energy ... -39 meV/atom

abc: 10.5437 10.5437 4.8558
angles: 90.00 90.00 90.00
Atoms (fractional coordinates):
Ho 0.9999 0.3358 0.0000
Ho 0.0001 0.6642 0.0000
Ho 0.1622 0.1622 0.5000
Ho 0.1642 0.4999 0.5000
Ho 0.3358 0.9999 0.0000
Ho 0.3378 0.6622 0.0000
Ho 0.4999 0.1642 0.5000
Ho 0.5001 0.8358 0.5000
Ho 0.6622 0.3378 0.0000
Ho 0.6642 0.0001 0.0000
Ho 0.8358 0.5001 0.5000
Ho 0.8378 0.8378 0.5000
Er 0.1629 0.8371 0.5000
Er 0.3371 0.3371 0.0000
Er 0.6629 0.6629 0.0000
Er 0.8371 0.1629 0.5000
Tl 0.0000 0.0000 0.0000
Tl 0.5000 0.5000 0.5000


(7)
HoEr4Tl2 after structural relaxation. Source: Alexandria, functional PBE.

Values from the calculation:
ΔE to the lowest computed polymorph ... 9 meV/atom
Total DFT energy (no corrections) ... -55.998 eV/cell
Formation energy ... -62 meV/atom

abc: 9.0333 9.0333 5.2532
angles: 90.00 90.00 90.00
Atoms (fractional coordinates):
Ho 0.0000 0.0000 0.0000
Ho 0.5000 0.5000 0.5000
Er 0.0721 0.3303 0.5000
Er 0.1697 0.5721 0.0000
Er 0.3303 0.0721 0.5000
Er 0.4279 0.8303 0.0000
Er 0.5721 0.1697 0.0000
Er 0.6697 0.9279 0.5000
Er 0.8303 0.4279 0.0000
Er 0.9279 0.6697 0.5000
Tl 0.2452 0.2452 0.0000
Tl 0.2548 0.7452 0.5000
Tl 0.7452 0.2548 0.5000
Tl 0.7548 0.7548 0.0000


(8)
Ho2Er5Tl after structural relaxation. Source: Alexandria, functional PBE.

Values from the calculation:
ΔE to the lowest computed polymorph ... 5 meV/atom
Total DFT energy (no corrections) ... -69.433 eV/cell
Formation energy ... -48 meV/atom

abc: 6.9093 13.9008 4.9188
angles: 90.00 90.00 90.00
Atoms (fractional coordinates):
Ho 0.2448 0.1265 0.0000
Ho 0.2552 0.6265 0.0000
Ho 0.7448 0.3735 0.0000
Ho 0.7552 0.8735 0.0000
Er 0.0000 0.0000 0.5000
Er 0.0009 0.2554 0.5000
Er 0.2443 0.8741 0.0000
Er 0.2557 0.3741 0.0000
Er 0.4991 0.7554 0.5000
Er 0.5000 0.5000 0.5000
Er 0.5009 0.2446 0.5000
Er 0.7443 0.6259 0.0000
Er 0.7557 0.1259 0.0000
Er 0.9991 0.7446 0.5000
Tl 0.0000 0.5000 0.5000
Tl 0.5000 0.0000 0.5000


(9)
Ho12Er3Tl5 after structural relaxation. Source: Alexandria, functional PBE.

Values from the calculation:
Total DFT energy (no corrections) ... -278.514 eV/cell
Formation energy ... 541 meV/atom

abc: 15.7392 15.7392 15.7392
angles: 109.47 109.47 109.47
Atoms (fractional coordinates):
Ho 0.0564 0.2218 0.1279
Ho 0.0564 0.3346 0.9285
Ho 0.0715 0.6279 0.4061
Ho 0.0715 0.9436 0.6654
Ho 0.0939 0.7218 0.6654
Ho 0.0939 0.8721 0.4285
Ho 0.1279 0.0564 0.2218
Ho 0.1279 0.5715 0.9061
Ho 0.1654 0.2218 0.5939
Ho 0.1654 0.4436 0.5715
Ho 0.2218 0.1279 0.0564
Ho 0.2218 0.5939 0.1654
Ho 0.2782 0.3346 0.9061
Ho 0.2782 0.4436 0.3721
Ho 0.3346 0.9061 0.2782
Ho 0.3346 0.9285 0.0564
Ho 0.3721 0.2782 0.4436
Ho 0.3721 0.5939 0.9285
Ho 0.4061 0.0715 0.6279
Ho 0.4061 0.8346 0.7782
Ho 0.4285 0.0939 0.8721
Ho 0.4285 0.8346 0.5564
Ho 0.4436 0.3721 0.2782
Ho 0.4436 0.5715 0.1654
Ho 0.5564 0.4285 0.8346
Ho 0.5564 0.6279 0.7218
Ho 0.5715 0.1654 0.4436
Ho 0.5715 0.9061 0.1279
Ho 0.5939 0.1654 0.2218
Ho 0.5939 0.9285 0.3721
Ho 0.6279 0.4061 0.0715
Ho 0.6279 0.7218 0.5564
Ho 0.6654 0.0715 0.9436
Ho 0.6654 0.0939 0.7218
Ho 0.7218 0.5564 0.6279
Ho 0.7218 0.6654 0.0939
Ho 0.7782 0.4061 0.8346
Ho 0.7782 0.8721 0.9436
Ho 0.8346 0.5564 0.4285
Ho 0.8346 0.7782 0.4061
Ho 0.8721 0.4285 0.0939
Ho 0.8721 0.9436 0.7782
Ho 0.9061 0.1279 0.5715
Ho 0.9061 0.2782 0.3346
Ho 0.9285 0.0564 0.3346
Ho 0.9285 0.3721 0.5939
Ho 0.9436 0.6654 0.0715
Ho 0.9436 0.7782 0.8721
Er 0.1250 0.2500 0.3750
Er 0.1250 0.3750 0.7500
Er 0.2500 0.3750 0.1250
Er 0.2500 0.8750 0.6250
Er 0.3750 0.1250 0.2500
Er 0.3750 0.7500 0.1250
Er 0.6250 0.2500 0.8750
Er 0.6250 0.8750 0.7500
Er 0.7500 0.1250 0.3750
Er 0.7500 0.6250 0.8750
Er 0.8750 0.6250 0.2500
Er 0.8750 0.7500 0.6250
Tl 0.0000 0.0000 0.0000
Tl 0.0000 0.0000 0.5000
Tl 0.0000 0.5000 0.0000
Tl 0.0000 0.5000 0.5000
Tl 0.1250 0.7500 0.8750
Tl 0.1250 0.8750 0.2500
Tl 0.2500 0.1250 0.8750
Tl 0.2500 0.6250 0.3750
Tl 0.3750 0.2500 0.6250
Tl 0.3750 0.6250 0.7500
Tl 0.5000 0.0000 0.0000
Tl 0.5000 0.0000 0.5000
Tl 0.5000 0.5000 0.0000
Tl 0.5000 0.5000 0.5000
Tl 0.6250 0.3750 0.2500
Tl 0.6250 0.7500 0.3750
Tl 0.7500 0.3750 0.6250
Tl 0.7500 0.8750 0.1250
Tl 0.8750 0.1250 0.7500
Tl 0.8750 0.2500 0.1250


(10)
Ho4Er5Tl after structural relaxation. Source: Alexandria, functional PBE.

Values from the calculation:
Total DFT energy (no corrections) ... -44.008 eV/cell
Formation energy ... -52 meV/atom

abc: 3.5263 3.5263 24.2051
angles: 90.00 90.00 90.00
Atoms (fractional coordinates):
Ho 0.0000 0.0000 0.1030
Ho 0.0000 0.0000 0.3091
Ho 0.0000 0.0000 0.6909
Ho 0.0000 0.0000 0.8970
Er 0.5000 0.5000 0.0000
Er 0.5000 0.5000 0.2056
Er 0.5000 0.5000 0.4111
Er 0.5000 0.5000 0.5889
Er 0.5000 0.5000 0.7944
Tl 0.0000 0.0000 0.5000


(11)
Ho12Er6Tl after structural relaxation. Source: Alexandria, functional PBE.

Values from the calculation:
ΔE to the lowest computed polymorph ... 96 meV/atom
Total DFT energy (no corrections) ... -82.908 eV/cell
Formation energy ... 93 meV/atom

abc: 8.3914 8.3914 8.3914
angles: 88.73 88.73 88.73
Atoms (fractional coordinates):
Ho 0.0394 0.2803 0.9337
Ho 0.0663 0.9606 0.7197
Ho 0.1365 0.3164 0.4879
Ho 0.2803 0.9337 0.0394
Ho 0.3164 0.4879 0.1365
Ho 0.4879 0.1365 0.3164
Ho 0.5121 0.8635 0.6836
Ho 0.6836 0.5121 0.8635
Ho 0.7197 0.0663 0.9606
Ho 0.8635 0.6836 0.5121
Ho 0.9337 0.0394 0.2803
Ho 0.9606 0.7197 0.0663
Er 0.2053 0.5964 0.7585
Er 0.2415 0.7947 0.4036
Er 0.4036 0.2415 0.7947
Er 0.5964 0.7585 0.2053
Er 0.7585 0.2053 0.5964
Er 0.7947 0.4036 0.2415
Tl 0.5000 0.5000 0.5000


(12)
Ho4Er5Tl4 after structural relaxation. Source: Alexandria, functional PBE.

Values from the calculation:
Total DFT energy (no corrections) ... -53.788 eV/cell
Formation energy ... -246 meV/atom

abc: 8.9483 8.9483 8.9483
angles: 94.58 94.58 147.17
Atoms (fractional coordinates):
Ho 0.0972 0.3942 0.4914
Ho 0.3942 0.9028 0.2971
Ho 0.6058 0.0972 0.7029
Ho 0.9028 0.6058 0.5086
Er 0.0000 0.0000 0.0000
Er 0.3147 0.5983 0.9130
Er 0.4017 0.3147 0.7163
Er 0.5983 0.6853 0.2837
Er 0.6853 0.4017 0.0870
Tl 0.1064 0.7659 0.8723
Tl 0.2341 0.1064 0.3405
Tl 0.7659 0.8936 0.6595
Tl 0.8936 0.2341 0.1277


(13)
Ho2Er5Tl after structural relaxation. Source: Alexandria, functional PBE.

Values from the calculation:
ΔE to the lowest computed polymorph ... 0 meV/atom
Total DFT energy (no corrections) ... -34.760 eV/cell
Formation energy ... -53 meV/atom

abc: 8.5785 8.5785 3.4974
angles: 90.00 90.00 112.68
Atoms (fractional coordinates):
Ho 0.2317 0.7683 0.0000
Ho 0.7683 0.2317 0.0000
Er 0.0000 0.0000 0.0000
Er 0.1426 0.3890 0.5000
Er 0.3890 0.1426 0.5000
Er 0.6110 0.8574 0.5000
Er 0.8574 0.6110 0.5000
Tl 0.5000 0.5000 0.0000


(14)
Ho3Er2Tl6 after structural relaxation. Source: Alexandria, functional PBE.

Values from the calculation:
Total DFT energy (no corrections) ... -37.182 eV/cell
Formation energy ... -11 meV/atom

abc: 15.1856 15.1856 15.1856
angles: 162.21 162.21 25.26
Atoms (fractional coordinates):
Ho 0.0000 0.0000 0.0000
Ho 0.2006 0.2006 0.0000
Ho 0.7994 0.7994 0.0000
Er 0.4470 0.4470 0.0000
Er 0.5530 0.5530 0.0000
Tl 0.1194 0.6194 0.5000
Tl 0.3034 0.3034 0.0000
Tl 0.3806 0.8806 0.5000
Tl 0.6194 0.1194 0.5000
Tl 0.6966 0.6966 0.0000
Tl 0.8806 0.3806 0.5000


(15)
Ho6Er12Tl after structural relaxation. Source: Alexandria, functional PBE.

Values from the calculation:
Total DFT energy (no corrections) ... -82.811 eV/cell
Formation energy ... 94 meV/atom

abc: 8.3756 8.3756 8.3756
angles: 88.75 88.75 88.75
Atoms (fractional coordinates):
Ho 0.2023 0.7586 0.5953
Ho 0.2414 0.4047 0.7977
Ho 0.4047 0.7977 0.2414
Ho 0.5953 0.2023 0.7586
Ho 0.7586 0.5953 0.2023
Ho 0.7977 0.2414 0.4047
Er 0.0396 0.9340 0.2791
Er 0.0660 0.7209 0.9604
Er 0.1373 0.4881 0.3142
Er 0.2791 0.0396 0.9340
Er 0.3142 0.1373 0.4881
Er 0.4881 0.3142 0.1373
Er 0.5119 0.6858 0.8627
Er 0.6858 0.8627 0.5119
Er 0.7209 0.9604 0.0660
Er 0.8627 0.5119 0.6858
Er 0.9340 0.2791 0.0396
Er 0.9604 0.0660 0.7209
Tl 0.5000 0.5000 0.5000


(16)
Ho3Er5Tl2 after structural relaxation. Source: Alexandria, functional PBE.

Values from the calculation:
Total DFT energy (no corrections) ... -79.536 eV/cell
Formation energy ... 151 meV/atom

abc: 10.4721 10.4721 10.4721
angles: 105.15 85.60 144.63
Atoms (fractional coordinates):
Ho 0.2231 0.1199 0.3430
Ho 0.2500 0.2500 0.0000
Ho 0.2769 0.6199 0.8968
Ho 0.7231 0.3801 0.1032
Ho 0.7500 0.7500 0.0000
Ho 0.7769 0.8801 0.6570
Er 0.1654 0.3866 0.5520
Er 0.2500 0.5018 0.2518
Er 0.2500 0.7500 0.5000
Er 0.2500 0.9982 0.7482
Er 0.3346 0.8866 0.2213
Er 0.6654 0.1134 0.7787
Er 0.7500 0.0018 0.2518
Er 0.7500 0.2500 0.5000
Er 0.7500 0.4982 0.7482
Er 0.8346 0.6134 0.4480
Tl 0.1452 0.8678 0.0130
Tl 0.3548 0.3678 0.7226
Tl 0.6452 0.6322 0.2774
Tl 0.8548 0.1322 0.9870